# 1
## AcSmIn2Au4 (PBE-GGA)

Data for an optimized crystal structure of AcSmIn2Au4.

* ΔH_f (0 K): -0.671 eV/atom

Geometry as POSCAR:
```
AcSmIn2Au4
1.0
2.490 1.438 8.970
-2.490 1.438 8.970
0.000 -2.875 8.970
Ac Sm In Au
1 1 2 4
Direct
0.000 0.000 0.000
0.500 0.500 0.500
0.243 0.243 0.243
0.757 0.757 0.757
0.125 0.125 0.125
0.388 0.388 0.388
0.612 0.612 0.612
0.875 0.875 0.875
```



# 2
## Ac2InSn3Au4 (PBE-GGA)

Data for an optimized crystal structure of Ac2InSn3Au4.

* ΔH_f (0 K): -0.639 eV/atom

Geometry as POSCAR:
```
Ac2InSn3Au4
1.0
4.756 0.000 0.000
0.000 4.756 0.000
0.000 0.000 11.381
Ac In Sn Au
2 1 3 4
Direct
0.000 0.500 0.238
0.500 0.000 0.762
0.000 0.000 0.500
0.000 0.500 0.872
0.500 0.000 0.128
0.500 0.500 0.500
0.000 0.000 0.000
0.000 0.500 0.636
0.500 0.000 0.364
0.500 0.500 0.000
```



# 3
## Ac3InSn2Au6 (PBE-GGA)

Data for an optimized crystal structure of Ac3InSn2Au6.

* ΔH_f (0 K): -0.578 eV/atom

Geometry as POSCAR:
```
Ac3InSn2Au6
1.0
6.491 0.000 0.000
-3.246 5.622 0.000
0.000 0.000 8.903
Ac In Sn Au
3 1 2 6
Direct
0.000 0.000 0.000
0.333 0.667 0.632
0.667 0.333 0.368
0.000 0.000 0.500
0.333 0.667 0.031
0.667 0.333 0.969
0.180 0.361 0.284
0.180 0.820 0.284
0.361 0.180 0.716
0.639 0.820 0.284
0.820 0.180 0.716
0.820 0.639 0.716
```



# 4
## AcInSnAu (PBE-GGA)

Data for an optimized crystal structure of AcInSnAu.

* ΔH_f (0 K): -0.431 eV/atom

Geometry as POSCAR:
```
AcInSnAu
1.0
0.000 3.809 3.809
3.809 0.000 3.809
3.809 3.809 0.000
Ac In Sn Au
1 1 1 1
Direct
0.000 0.000 0.000
0.250 0.250 0.250
0.500 0.500 0.500
0.750 0.750 0.750
```



# 5
## Ac2InSn3Au6 (PBE-GGA)

Data for an optimized crystal structure of Ac2InSn3Au6.

* ΔH_f (0 K): -0.291 eV/atom

Geometry as POSCAR:
```
Ac2InSn3Au6
1.0
4.661 0.000 0.000
0.000 4.661 0.000
0.000 0.000 16.407
Ac In Sn Au
2 1 3 6
Direct
0.000 0.000 0.233
0.000 0.000 0.767
0.000 0.000 0.500
0.500 0.500 0.000
0.500 0.500 0.318
0.500 0.500 0.682
0.000 0.500 0.405
0.000 0.500 0.595
0.500 0.000 0.405
0.500 0.000 0.595
0.500 0.500 0.157
0.500 0.500 0.843
```



# 6
## AcTbIn2Au4 (PBE-GGA)

Data for an optimized crystal structure of AcTbIn2Au4.

* ΔH_f (0 K): -0.679 eV/atom

Geometry as POSCAR:
```
AcTbIn2Au4
1.0
2.470 1.426 8.993
-2.470 1.426 8.993
0.000 -2.852 8.993
Ac Tb In Au
1 1 2 4
Direct
0.000 0.000 0.000
0.500 0.500 0.500
0.242 0.242 0.242
0.758 0.758 0.758
0.128 0.128 0.128
0.390 0.390 0.390
0.610 0.610 0.610
0.872 0.872 0.872
```



# 7
## Ac2TbInAu6 (PBE-GGA)

Data for an optimized crystal structure of Ac2TbInAu6.

* ΔH_f (0 K): -0.245 eV/atom

Geometry as POSCAR:
```
Ac2TbInAu6
1.0
0.000 5.328 5.328
5.328 0.000 5.328
5.328 5.328 0.000
Ac Tb In Au
2 1 1 6
Direct
0.250 0.250 0.250
0.750 0.750 0.750
0.000 0.000 0.000
0.500 0.500 0.500
0.254 0.254 0.746
0.254 0.746 0.254
0.254 0.746 0.746
0.746 0.254 0.254
0.746 0.254 0.746
0.746 0.746 0.254
```



# 8
## AcTbInAu (PBE-GGA)

Data for an optimized crystal structure of AcTbInAu.

* ΔH_f (0 K): -0.526 eV/atom

Geometry as POSCAR:
```
AcTbInAu
1.0
0.000 3.880 3.880
3.880 0.000 3.880
3.880 3.880 0.000
Ac Tb In Au
1 1 1 1
Direct
0.000 0.000 0.000
0.500 0.500 0.500
0.250 0.250 0.250
0.750 0.750 0.750
```



# 9
## Ac4TlIn2Au (PBE-GGA)

Data for an optimized crystal structure of Ac4TlIn2Au.

* ΔH_f (0 K): -0.463 eV/atom

Geometry as POSCAR:
```
Ac4TlIn2Au
1.0
2.864 1.653 9.484
-2.864 1.653 9.484
0.000 -3.307 9.484
Ac Tl In Au
4 1 2 1
Direct
0.119 0.119 0.119
0.368 0.368 0.368
0.632 0.632 0.632
0.881 0.881 0.881
0.500 0.500 0.500
0.246 0.246 0.246
0.754 0.754 0.754
0.000 0.000 0.000
```



# 10
## Ac4Tl2InAu (PBE-GGA)

Data for an optimized crystal structure of Ac4Tl2InAu.

* ΔH_f (0 K): -0.447 eV/atom

Geometry as POSCAR:
```
Ac4Tl2InAu
1.0
2.870 1.657 9.454
-2.870 1.657 9.454
0.000 -3.314 9.454
Ac Tl In Au
4 2 1 1
Direct
0.119 0.119 0.119
0.368 0.368 0.368
0.632 0.632 0.632
0.881 0.881 0.881
0.245 0.245 0.245
0.755 0.755 0.755
0.500 0.500 0.500
0.000 0.000 0.000
```



# 11
## AcTlInAu (PBE-GGA)

Data for an optimized crystal structure of AcTlInAu.

* ΔH_f (0 K): -0.442 eV/atom

Geometry as POSCAR:
```
AcTlInAu
1.0
0.000 3.815 3.815
3.815 0.000 3.815
3.815 3.815 0.000
Ac Tl In Au
1 1 1 1
Direct
0.000 0.000 0.000
0.250 0.250 0.250
0.500 0.500 0.500
0.750 0.750 0.750
```



# 12
## AcTmIn2Au4 (PBE-GGA)

Data for an optimized crystal structure of AcTmIn2Au4.

* ΔH_f (0 K): -0.680 eV/atom

Geometry as POSCAR:
```
AcTmIn2Au4
1.0
2.450 1.415 9.033
-2.450 1.415 9.033
0.000 -2.830 9.033
Ac Tm In Au
1 1 2 4
Direct
0.000 0.000 0.000
0.500 0.500 0.500
0.243 0.243 0.243
0.757 0.757 0.757
0.133 0.133 0.133
0.392 0.392 0.392
0.608 0.608 0.608
0.867 0.867 0.867
```